BaBePb | PBE | optimized geometry

spin magnetization: 0.1 μB per cell
formation energy from the elements: -0.33 eV per formula unit
DOS at the Fermi energy: 1.44 states/eV/f.u.

Lattice parameters (Å, degrees): 4.503 4.503 5.172 90.00 90.00 120.00
Atoms (fractional coordinates):
1 Pb 0.333 0.667 0.500
2 Be 0.667 0.333 0.500
3 Ba 0.000 0.000 0.000